# PBE-GGA Er3TmPb12, optimized geometry
# Formation energy from the elements, meV per atom: -239
data_Er3TmPb12
_symmetry_space_group_name_H-M 'P 1'
_symmetry_Int_Tables_number 1
_symmetry_space_group_name_Hall 'P 1'
_cell_length_a 4.902
_cell_length_b 4.902
_cell_length_c 19.185
_cell_angle_alpha 90.00
_cell_angle_beta 90.00
_cell_angle_gamma 90.00
loop_
_atom_site_label
_atom_site_type_symbol
_atom_site_fract_x
_atom_site_fract_y
_atom_site_fract_z
Er1 Er 0.000 0.000 0.000
Er2 Er 0.000 0.000 0.250
Er3 Er 0.000 0.000 0.750
Tm1 Tm 0.000 0.000 0.500
Pb1 Pb 0.000 0.500 0.125
Pb2 Pb 0.000 0.500 0.375
Pb3 Pb 0.000 0.500 0.625
Pb4 Pb 0.000 0.500 0.875
Pb5 Pb 0.500 0.000 0.125
Pb6 Pb 0.500 0.000 0.375
Pb7 Pb 0.500 0.000 0.625
Pb8 Pb 0.500 0.000 0.875
Pb9 Pb 0.500 0.500 0.000
Pb10 Pb 0.500 0.500 0.250
Pb11 Pb 0.500 0.500 0.500
Pb12 Pb 0.500 0.500 0.750


# PBE-GGA AlAsH, optimized geometry
# Energy, eV per atom: -3.75
data_AlAsH
_symmetry_space_group_name_H-M 'P 1'
_symmetry_Int_Tables_number 1
_symmetry_space_group_name_Hall 'P 1'
_cell_length_a 4.810
_cell_length_b 4.810
_cell_length_c 4.403
_cell_angle_alpha 90.00
_cell_angle_beta 90.00
_cell_angle_gamma 90.00
loop_
_atom_site_label
_atom_site_type_symbol
_atom_site_fract_x
_atom_site_fract_y
_atom_site_fract_z
Al1 Al 0.250 0.750 0.000
Al2 Al 0.750 0.250 0.000
As1 As 0.250 0.250 0.217
As2 As 0.750 0.750 0.783
H1 H 0.250 0.250 0.576
H2 H 0.750 0.750 0.424


# PBE-GGA Sr2AcPaSe6, optimized geometry
# Energy relative to the elements, uncorrected, meV per atom: -1778
data_Sr2AcPaSe6
_symmetry_space_group_name_H-M 'P 1'
_symmetry_Int_Tables_number 1
_symmetry_space_group_name_Hall 'P 1'
_cell_length_a 7.380
_cell_length_b 8.019
_cell_length_c 13.078
_cell_angle_alpha 90.00
_cell_angle_beta 123.36
_cell_angle_gamma 90.00
loop_
_atom_site_label
_atom_site_type_symbol
_atom_site_fract_x
_atom_site_fract_y
_atom_site_fract_z
Sr1 Sr 0.214 0.089 0.248
Sr2 Sr 0.214 0.411 0.748
Sr3 Sr 0.786 0.589 0.252
Sr4 Sr 0.786 0.911 0.752
Ac1 Ac 0.500 0.000 0.000
Ac2 Ac 0.500 0.500 0.500
Pa1 Pa 0.000 0.000 0.500
Pa2 Pa 0.000 0.500 0.000
Se1 Se 0.093 0.203 0.925
Se2 Se 0.093 0.297 0.425
Se3 Se 0.232 0.679 0.929
Se4 Se 0.232 0.821 0.429
Se5 Se 0.371 0.051 0.734
Se6 Se 0.371 0.449 0.234
Se7 Se 0.629 0.551 0.766
Se8 Se 0.629 0.949 0.266
Se9 Se 0.768 0.179 0.571
Se10 Se 0.768 0.321 0.071
Se11 Se 0.907 0.703 0.575
Se12 Se 0.907 0.797 0.075